Entry 1:
First-principles (PBE) data for an optimized crystal structure of Y5Mg6, as listed in Alexandria via LeMat-Bulk.

Geometry as POSCAR:
```
Y5Mg6
1.0
5.094 0.004 -1.579
-0.866 6.904 -2.772
0.025 -0.408 9.112
Y Mg
5 6
direct
0.000 0.500 0.000 Y
0.661 0.661 0.322 Y
0.339 0.339 0.678 Y
0.306 0.805 0.609 Y
0.694 0.195 0.391 Y
0.500 0.788 0.001 Mg
0.500 0.212 0.999 Mg
0.857 0.065 0.709 Mg
0.856 0.644 0.709 Mg
0.143 0.935 0.291 Mg
0.144 0.356 0.291 Mg
```

## Properties
For the formation energy from the elements, the calculation gives 1.13 kJ per mole of atoms. Its space group is No. 2. For the spin magnetization, the calculation gives 0.417 μB/cell. The uncorrected energy is -3.80 eV per atom.

---

Entry 2:
First-principles (PBE) data for an optimized crystal structure of Y2TcRu, as listed in Alexandria via LeMat-Bulk.

Geometry as POSCAR:
```
Y2TcRu
1.0
3.577 0.000 0.000
0.000 5.217 0.000
0.000 0.000 4.332
Ru Tc Y
1 1 2
direct
0.500 0.000 0.500 Ru
0.000 0.500 0.500 Tc
0.000 0.000 0.000 Y
0.500 0.500 0.000 Y
```

## Properties
For the formation energy from the elements, the calculation gives 20.13 kJ per mole of atoms. Its space group is No. 47. For the spin magnetization, the calculation gives 0.001 μB/cell. The uncorrected energy is -7.93 eV per atom.

---

Entry 3:
First-principles (PBE) data for an optimized crystal structure of Ce2SnPd9, as listed in Alexandria via LeMat-Bulk.

Geometry as POSCAR:
```
Ce2SnPd9
1.0
-3.590 0.091 -2.048
1.082 -3.424 -2.049
-5.165 -6.869 8.752
Ce Sn Pd
2 1 9
direct
0.000 0.000 0.329 Ce
0.000 0.000 0.671 Ce
0.000 0.000 0.000 Sn
0.500 0.500 0.000 Pd
0.500 0.500 0.329 Pd
0.500 0.500 0.671 Pd
0.500 0.000 0.162 Pd
0.500 0.000 0.500 Pd
0.500 0.000 0.838 Pd
0.000 0.500 0.162 Pd
0.000 0.500 0.500 Pd
0.000 0.500 0.838 Pd
```

## Properties
For the formation energy from the elements, the calculation gives -68.52 kJ per mole of atoms. Its space group is No. 123. For the spin magnetization, the calculation gives 0.544 μB/cell. The uncorrected energy is -5.93 eV per atom.

---

What is the formula in the third record? Ce2SnPd9